[1]
# Y2LuCd

Crystalline Y2LuCd at its relaxed geometry (PBE-GGA, Alexandria via LeMat-Bulk).

Values from the calculation:
- N(E_F) (states/eV per cell) = 5.7
- ΔE_f (eV/atom) = -0.07
- M_tot (μB/f.u.) = 0.01
- V (Å³ per cell) = 114.0

Unit cell a=5.3283 b=5.3283 c=4.0156 alpha=90.00 beta=90.00 gamma=90.00
With the nearest neighbours (Å) after each atom.
Sites, in units of the cell vectors:
Y 0.0000 0.5000 0.0000  4 Cd 3.34, 4 Lu 3.34
Y 0.5000 0.0000 0.0000  4 Cd 3.34, 4 Lu 3.34
Lu 0.0000 0.0000 0.5000  8 Y 3.34
Cd 0.5000 0.5000 0.5000  8 Y 3.34

[2]
# HoAl2Se4

Crystalline HoAl2Se4 at its relaxed geometry (PBE-GGA, Alexandria via LeMat-Bulk).

Values from the calculation:
- N(E_F) (states/eV per cell) = 1.8
- E_form (uncorrected) (eV per formula unit) = -6.27
- M_tot (μB/f.u.) = 1.00
- V (Å³ per cell) = 193.6

Unit cell a=6.3651 b=6.3651 c=6.3651 alpha=104.57 beta=104.57 gamma=119.80
With the nearest neighbours (Å) after each atom.
Sites, in units of the cell vectors:
Ho 0.0000 0.0000 0.0000  4 Se 2.90
Al 0.2500 0.7500 0.5000  4 Se 2.43
Al 0.7500 0.2500 0.5000  4 Se 2.43
Se 0.1670 0.3335 0.5004  2 Al 2.43
Se 0.3335 0.8330 0.1665  2 Al 2.43
Se 0.6665 0.1670 0.8335  2 Al 2.43
Se 0.8330 0.6665 0.4996  2 Al 2.43

[3]
# Tb7Dy2Ho

Crystalline Tb7Dy2Ho at its relaxed geometry (PBE-GGA, Alexandria via LeMat-Bulk).

Values from the calculation:
- N(E_F) (states/eV per cell) = 12.5
- ΔE_f (eV/atom) = 0.69
- M_tot (μB/f.u.) = 0.00
- V (Å³ per cell) = 386.2

Unit cell a=9.5657 b=9.5657 c=5.2254 alpha=90.00 beta=90.00 gamma=126.12
With the nearest neighbours (Å) after each atom.
Sites, in units of the cell vectors:
Tb 0.0000 0.0000 0.0000  4 Tb 3.35, 2 Dy 3.45
Tb 0.2116 0.4299 0.0000  4 Tb 3.11-3.40, 1 Dy 3.20
Tb 0.3016 0.6984 0.5000  2 Dy 3.12, 1 Ho 3.38, 4 Tb 3.40
Tb 0.4299 0.2116 0.0000  4 Tb 3.11-3.40, 1 Dy 3.20
Tb 0.5701 0.7884 0.0000  4 Tb 3.11-3.40, 1 Dy 3.20
Tb 0.6984 0.3016 0.5000  2 Dy 3.12, 1 Ho 3.38, 4 Tb 3.40
Tb 0.7884 0.5701 0.0000  4 Tb 3.11-3.40, 1 Dy 3.20
Dy 0.2021 0.7979 0.0000  5 Tb 3.12-3.45
Dy 0.7979 0.2021 0.0000  5 Tb 3.12-3.45
Ho 0.5000 0.5000 0.5000  10 Tb 3.38-3.56